## NaSnGeSe3 (PBE)

Data for a relaxed structure of NaSnGeSe3.

Geometry as POSCAR:
```
NaSnGeSe3
1.0
8.288 0.000 0.000
0.000 4.585 0.000
-0.878 0.000 9.945
Na Sn Ge Se
2 2 2 6
Cartesian
0.951 1.146 1.461
6.459 3.439 8.484
2.510 3.439 8.468
4.901 1.146 1.477
0.357 1.146 5.875
7.053 3.439 4.070
0.235 1.146 8.257
1.122 3.439 5.049
2.970 3.439 1.186
4.441 1.146 8.759
6.288 1.146 4.896
7.175 3.439 1.688
```

N(E_F)	3.3	states/eV per cell
space group	P2_1/m, No. 11
crystal system	monoclinic
spin magnetization	0.00	μB per atom
electronic total energy	-3.883	eV/atom